BC | GGA-PBE | relaxed

a b c (Å): 2.444 2.482 13.087
angles (deg): 90.00 90.00 90.00
Space group Pmm2 (No. 25)
Asymmetric unit:
1 B 0.000 0.000 0.000 [1 per cell]
2 B 0.000 0.000 0.332 [1 per cell]
3 B 0.000 0.000 0.666 [1 per cell]
4 B 0.000 0.500 0.234 [1 per cell]
5 B 0.500 0.000 0.435 [1 per cell]
6 B 0.500 0.000 0.769 [1 per cell]
7 C 0.000 0.500 0.583 [1 per cell]
8 C 0.000 0.500 0.916 [1 per cell]
9 C 0.500 0.000 0.085 [1 per cell]
10 C 0.500 0.500 0.148 [1 per cell]
11 C 0.500 0.500 0.518 [1 per cell]
12 C 0.500 0.500 0.852 [1 per cell]

crystal system: orthorhombic
E_tot: -7.622 eV per atom

B3C | GGA-PBE | relaxed

a b c (Å): 11.937 2.777 4.853
angles (deg): 90.00 90.14 90.00
Space group Cm (No. 8)
Asymmetric unit:
1 B 0.000 0.000 0.000 [2 per cell]
2 B 0.011 0.500 0.469 [2 per cell]
3 B 0.148 0.500 0.213 [2 per cell]
4 B 0.160 0.500 0.585 [2 per cell]
5 B 0.290 0.500 0.337 [2 per cell]
6 B 0.355 0.500 0.985 [2 per cell]
7 B 0.367 0.000 0.492 [2 per cell]
8 B 0.429 0.500 0.325 [2 per cell]
9 B 0.449 0.000 0.811 [2 per cell]
10 C 0.129 0.000 0.042 [2 per cell]
11 C 0.186 0.000 0.761 [2 per cell]
12 C 0.313 0.000 0.818 [2 per cell]

crystal system: monoclinic
E_tot: -7.014 eV per atom

B6C | GGA-PBE | relaxed

a b c (Å): 11.363 3.348 5.423
angles (deg): 90.00 102.29 90.00
Space group P2_1/c (No. 14)
Asymmetric unit:
1 B 0.006 0.250 0.003 [4 per cell]
2 B 0.079 0.512 0.285 [4 per cell]
3 B 0.282 0.698 0.119 [4 per cell]
4 B 0.313 0.203 0.021 [4 per cell]
5 B 0.427 0.538 0.724 [4 per cell]
6 B 0.476 0.250 0.497 [4 per cell]
7 C 0.219 0.584 0.344 [4 per cell]

crystal system: monoclinic
E_tot: -6.708 eV per atom

B7C5 | GGA-PBE | relaxed

a b c (Å): 13.051 2.447 5.059
angles (deg): 90.00 96.66 90.00
Space group Cm (No. 8)
Asymmetric unit:
1 B 0.000 0.000 0.000 [2 per cell]
2 B 0.013 0.000 0.324 [2 per cell]
3 B 0.141 0.000 0.117 [2 per cell]
4 B 0.200 0.500 0.358 [2 per cell]
5 B 0.307 0.000 0.912 [2 per cell]
6 B 0.367 0.500 0.152 [2 per cell]
7 B 0.467 0.000 0.758 [2 per cell]
8 C 0.038 0.500 0.521 [2 per cell]
9 C 0.150 0.500 0.648 [2 per cell]
10 C 0.180 0.000 0.813 [2 per cell]
11 C 0.325 0.500 0.452 [2 per cell]
12 C 0.350 0.000 0.612 [2 per cell]

crystal system: monoclinic
E_tot: -7.352 eV per atom

B3C2 | GGA-PBE | relaxed

a b c (Å): 2.6493 2.6493 38.3281
angles (deg): 90.00 90.00 120.00
Space group R3m (No. 160, hexagonal axes)
Asymmetric unit:
1 B 0.0000 0.0000 0.0000 [3 per cell]
2 B 0.0000 0.0000 0.0465 [3 per cell]
3 B 0.0000 0.0000 0.1941 [3 per cell]
4 B 0.0000 0.0000 0.4048 [3 per cell]
5 B 0.0000 0.0000 0.5720 [3 per cell]
6 B 0.0000 0.0000 0.8343 [3 per cell]
7 C 0.0000 0.0000 0.2351 [3 per cell]
8 C 0.0000 0.0000 0.4463 [3 per cell]
9 C 0.0000 0.0000 0.6650 [3 per cell]
10 C 0.0000 0.0000 0.7932 [3 per cell]

crystal system: trigonal
E_tot: -7.273 eV per atom

B3C7 | GGA-PBE | relaxed

a b c (Å): 8.675 2.482 6.495
angles (deg): 90.00 115.91 90.00
Space group Cm (No. 8)
Asymmetric unit:
1 B 0.000 0.000 0.000 [2 per cell]
2 B 0.112 0.500 0.411 [2 per cell]
3 B 0.306 0.500 0.207 [2 per cell]
4 C 0.010 0.000 0.755 [2 per cell]
5 C 0.108 0.500 0.165 [2 per cell]
6 C 0.208 0.000 0.810 [2 per cell]
7 C 0.228 0.000 0.586 [2 per cell]
8 C 0.295 0.500 0.949 [2 per cell]
9 C 0.415 0.000 0.616 [2 per cell]
10 C 0.419 0.000 0.381 [2 per cell]

crystal system: monoclinic
E_tot: -8.115 eV per atom

B3C | GGA-PBE | relaxed

a b c (Å): 5.6937 5.6937 6.5360
angles (deg): 90.00 90.00 120.00
Space group R-3m (No. 166, hexagonal axes)
Asymmetric unit:
1 B 0.0397 0.5199 0.3728 [18 per cell]
2 C 0.0000 0.0000 0.3865 [6 per cell]

crystal system: trigonal
E_tot: -6.775 eV per atom

BC | GGA-PBE | relaxed

a b c (Å): 9.612 2.559 6.367
angles (deg): 90.00 121.93 90.00
Space group Cm (No. 8)
Asymmetric unit:
1 B 0.000 0.000 0.000 [2 per cell]
2 B 0.033 0.000 0.682 [2 per cell]
3 B 0.074 0.500 0.279 [2 per cell]
4 B 0.129 0.500 0.056 [2 per cell]
5 B 0.235 0.000 0.498 [2 per cell]
6 C 0.218 0.000 0.738 [2 per cell]
7 C 0.309 0.500 0.132 [2 per cell]
8 C 0.310 0.500 0.889 [2 per cell]
9 C 0.404 0.000 0.278 [2 per cell]
10 C 0.413 0.000 0.529 [2 per cell]

crystal system: monoclinic
E_tot: -7.541 eV per atom

B3C2 | GGA-PBE | relaxed

a b c (Å): 2.5612 2.5612 36.5151
angles (deg): 90.00 90.00 120.00
Space group R-3m (No. 166, hexagonal axes)
Asymmetric unit:
1 B 0.0000 0.0000 0.0799 [6 per cell]
2 B 0.0000 0.0000 0.1265 [6 per cell]
3 B 0.0000 0.0000 0.2829 [6 per cell]
4 C 0.0000 0.0000 0.3262 [6 per cell]
5 C 0.0000 0.0000 0.4809 [6 per cell]

crystal system: trigonal
E_tot: -7.176 eV per atom

BC | GGA-PBE | relaxed

a b c (Å): 8.989 2.578 7.984
angles (deg): 90.00 116.41 90.00
Space group Cm (No. 8)
Asymmetric unit:
1 B 0.000 0.000 0.000 [2 per cell]
2 B 0.011 0.000 0.517 [2 per cell]
3 B 0.178 0.000 0.970 [2 per cell]
4 B 0.209 0.500 0.405 [2 per cell]
5 B 0.343 0.000 0.675 [2 per cell]
6 B 0.449 0.000 0.115 [2 per cell]
7 C 0.016 0.500 0.656 [2 per cell]
8 C 0.173 0.000 0.480 [2 per cell]
9 C 0.173 0.500 0.830 [2 per cell]
10 C 0.331 0.000 0.207 [2 per cell]
11 C 0.331 0.500 0.306 [2 per cell]
12 C 0.332 0.500 0.811 [2 per cell]

crystal system: monoclinic
E_tot: -7.551 eV per atom

BC | GGA-PBE | relaxed

a b c (Å): 2.6453 2.6453 14.7235
angles (deg): 90.00 90.00 120.00
Space group P3m1 (No. 156)
Asymmetric unit:
1 B 0.0000 0.0000 0.0000 [1 per cell]
2 B 0.0000 0.0000 0.2376 [1 per cell]
3 B 0.0000 0.0000 0.5829 [1 per cell]
4 B 0.3333 0.6667 0.3612 [1 per cell]
5 B 0.3333 0.6667 0.8339 [1 per cell]
6 B 0.6667 0.3333 0.5114 [1 per cell]
7 C 0.0000 0.0000 0.6894 [1 per cell]
8 C 0.3333 0.6667 0.2479 [1 per cell]
9 C 0.3333 0.6667 0.7251 [1 per cell]
10 C 0.6667 0.3333 0.4071 [1 per cell]
11 C 0.6667 0.3333 0.8810 [1 per cell]
12 C 0.6667 0.3333 0.9860 [1 per cell]

crystal system: trigonal
E_tot: -7.612 eV per atom

B7C5 | GGA-PBE | relaxed

a b c (Å): 11.734 2.704 5.434
angles (deg): 90.00 100.01 90.00
Space group Cm (No. 8)
Asymmetric unit:
1 B 0.000 0.000 0.000 [2 per cell]
2 B 0.011 0.000 0.634 [2 per cell]
3 B 0.134 0.000 0.876 [2 per cell]
4 B 0.147 0.000 0.518 [2 per cell]
5 B 0.261 0.500 0.734 [2 per cell]
6 B 0.368 0.000 0.275 [2 per cell]
7 B 0.388 0.000 0.783 [2 per cell]
8 C 0.200 0.500 0.443 [2 per cell]
9 C 0.202 0.500 0.978 [2 per cell]
10 C 0.271 0.500 0.237 [2 per cell]
11 C 0.444 0.000 0.544 [2 per cell]
12 C 0.447 0.000 0.066 [2 per cell]

crystal system: monoclinic
E_tot: -7.450 eV per atom